# 1
## AgPt4Pb (PBE)

Data for AgPt4Pb after structural relaxation.

Values from the calculation:
Space group: No. 216
VASP energy (eV per atom): -5.190
Formation enthalpy at 0 K (eV per atom): -0.070

Structure (POSCAR):
```
AgPt4Pb
1.0
5.4072 0.0000 0.0000
2.7036 4.6828 0.0000
2.7036 1.5609 4.4149
Ag Pb Pt
1 1 4
Direct
0.2500 0.2500 0.2500
0.0000 0.0000 0.0000
0.1258 0.6247 0.6247
0.6247 0.6247 0.6247
0.6247 0.1258 0.6247
0.6247 0.6247 0.1258
```

# 2
## YZrP (PBE)

Data for YZrP after structural relaxation.

Values from the calculation:
Space group: No. 156
VASP energy (eV per atom): -7.320
Formation enthalpy at 0 K (eV per atom): -0.513

Structure (POSCAR):
```
YZrP
1.0
-2.1720 2.3676 2.9851
-1.5383 -3.9173 -1.2339
2.2181 -1.8388 3.0724
Y Zr P
1 1 1
Direct
0.6667 0.3333 0.2740
0.3333 0.6667 0.7984
0.0000 0.0000 0.9276
```

# 3
## Na3CaRh (PBE)

Data for Na3CaRh after structural relaxation.

Values from the calculation:
Space group: No. 221
VASP energy (eV per atom): -1.336
Formation enthalpy at 0 K (eV per atom): 1.326

Structure (POSCAR):
```
Na3CaRh
1.0
-0.0243 -4.3197 3.7225
-0.4023 -3.7120 -4.3101
5.6882 -0.2810 -0.2889
Na Ca Rh
3 1 1
Direct
0.0000 0.5000 0.0000
0.0000 0.0000 0.5000
0.5000 0.0000 0.0000
0.0000 0.0000 0.0000
0.5000 0.5000 0.5000
```

# 4
## RbBaNdI6 (PBE)

Data for RbBaNdI6 after structural relaxation.

Values from the calculation:
Space group: No. 163
VASP energy (eV per atom): -3.442
Formation energy from raw total energies (eV per atom): -1.558

Structure (POSCAR):
```
RbBaNdI6
1.0
-2.7863 7.8607 2.2667
-3.6405 -7.0370 3.4526
10.3170 0.3275 11.5461
Rb Ba Nd I
2 2 2 12
Direct
0.0000 0.0000 0.0000
0.0000 0.0000 0.5000
0.3333 0.6667 0.2500
0.6667 0.3333 0.7500
0.6667 0.3333 0.2500
0.3333 0.6667 0.7500
0.6484 0.6190 0.1314
0.9706 0.3516 0.1314
0.3516 0.9706 0.6314
0.0294 0.6484 0.8686
0.3810 0.3516 0.3686
0.9706 0.6190 0.3686
0.6190 0.9706 0.8686
0.6484 0.0294 0.3686
0.0294 0.3810 0.6314
0.3810 0.0294 0.1314
0.6190 0.6484 0.6314
0.3516 0.3810 0.8686
```